# PBE+U HfNiHO2, relaxed
# **Fermi-level density of states**: 4.87 states/eV/f.u.
# **E**: -6.28 eV per atom
data_HfNiHO2
_chemical_formula_sum 'Hf1 Ni1 H1 O2'
_cell_length_a 4.0583
_cell_length_b 4.0583
_cell_length_c 3.7667
_cell_angle_alpha 90.00
_cell_angle_beta 90.00
_cell_angle_gamma 90.00
_symmetry_space_group_name_H-M 'P 4/m m m'
_symmetry_Int_Tables_number 123
_symmetry_space_group_name_Hall '-P 4 2'
loop_
_atom_site_label
_atom_site_type_symbol
_atom_site_fract_x
_atom_site_fract_y
_atom_site_fract_z
Hf1 Hf 0.0000 0.0000 0.0000
Ni1 Ni 0.5000 0.5000 0.5000
H1 H 0.0000 0.0000 0.5000
O1 O 0.0000 0.5000 0.0000